Compound: SnAs2PSe
Source: Alexandria via LeMat-Bulk
Functional: PBE
Structure: relaxed

Summary:
Magnetization: 0.000 μB/atom
E_tot: -16.18 eV/cell
Symmetry: P4/mmm, No. 123
Crystal system: tetragonal
Uncorrected formation energy: 1.203 eV/atom

Unit cell a=5.2429 b=5.2429 c=5.1421 alpha=90.00 beta=90.00 gamma=90.00
With the nearest neighbours (Å) after each atom.
Atoms (fractional coordinates):
P 0.5000 0.5000 0.5000  8 As 3.67, 4 Se 3.71
As 0.0000 0.5000 0.0000  2 Sn 2.62
As 0.5000 0.0000 0.0000  2 Sn 2.62
Sn 0.0000 0.0000 0.0000  2 Se 2.57, 4 As 2.62
Se 0.0000 0.0000 0.5000  2 Sn 2.57